A | The following is a PBE calculation of a relaxed Tb4Pr3In crystal, from the Alexandria database.

Computed properties:
spin magnetization = 0.00 μB per formula unit
D(E_F) = 1.103 states/eV per atom

Unit cell a=11.399 b=7.176 c=6.290 alpha=90.00 beta=90.00 gamma=90.00
Space group Pmn2_1 (No. 31)
Symmetry-distinct sites (fractional):
Tb: 0.000 0.120 0.000 x2
Tb: 0.000 0.871 0.523 x2
Tb: 0.238 0.875 0.179 x4
Pr: 0.000 0.372 0.541 x2
Pr: 0.239 0.384 0.196 x4
In: 0.000 0.638 0.017 x2

---

B | The following is a PBE calculation of a relaxed Tb4Pr3In crystal, from the Alexandria database.

Computed properties:
spin magnetization = 0.31 μB per formula unit
D(E_F) = 1.411 states/eV per atom

Unit cell a=26.153 b=3.468 c=5.904 alpha=90.00 beta=97.64 gamma=90.00
Space group C2/m (No. 12)
Symmetry-distinct sites (fractional):
Tb: 0.100 0.000 0.173 x4
Tb: 0.218 0.500 0.234 x4
Pr: 0.000 0.000 0.500 x2
Pr: 0.150 0.000 0.705 x4
In: 0.000 0.500 0.000 x2

---

It comes down to A, which is 15.8 kJ/mol of atoms more stable than the next structure.